Here is a relaxed structure of CaEuEr from the Alexandria database. Energies are from PBE.

excess energy over the best structure of this formula in the dataset	0.008	eV per atom
space group	I4mm (107)
formation enthalpy at 0 K	0.106	eV/atom

abc: 3.724 3.724 8.524
angles: 102.62 102.62 90.00
Fractional positions:
1 Ca 0.993 0.993 0.987
2 Er 0.331 0.331 0.662
3 Eu 0.676 0.676 0.352

Here is a relaxed structure of YThAlIn from the Alexandria database. Energies are from PBE.

space group	F-43m (216)
formation enthalpy at 0 K	-0.284	eV/atom

abc: 5.319 5.319 5.319
angles: 60.00 60.00 60.00
Fractional positions:
1 Y 0.750 0.750 0.750
2 Th 0.250 0.250 0.250
3 In 0.000 0.000 0.000
4 Al 0.500 0.500 0.500

Here is a relaxed structure of Tl2Cd4Hg9 from the Alexandria database. Energies are from PBE.

space group	P-3m1 (164)
formation enthalpy at 0 K	0.026	eV/atom

abc: 5.088 5.088 18.195
angles: 90.00 90.00 120.00
Fractional positions:
1 Hg 0.000 0.000 0.855
2 Hg 0.000 0.000 0.322
3 Hg 0.000 0.000 0.678
4 Hg 0.667 0.333 0.435
5 Hg 0.000 0.000 0.145
6 Hg 0.333 0.667 0.565
7 Hg 0.333 0.667 0.955
8 Hg 0.667 0.333 0.045
9 Hg 0.000 0.000 0.500
10 Tl 0.333 0.667 0.759
11 Tl 0.667 0.333 0.241
12 Cd 0.333 0.667 0.120
13 Cd 0.333 0.667 0.375
14 Cd 0.667 0.333 0.625
15 Cd 0.667 0.333 0.880

Here is a relaxed structure of TbNd6Ho3Er2 from the Alexandria database. Energies are from PBE.

space group	C2/m (12)
formation enthalpy at 0 K	0.012	eV/atom

abc: 6.258 6.258 11.818
angles: 95.05 95.05 119.99
Fractional positions:
1 Nd 0.250 0.250 0.750
2 Nd 0.750 0.750 0.250
3 Nd 0.417 0.084 0.250
4 Nd 0.084 0.417 0.250
5 Nd 0.583 0.916 0.750
6 Nd 0.916 0.583 0.750
7 Ho 0.500 0.500 0.500
8 Ho 0.167 0.833 0.500
9 Ho 0.833 0.167 0.500
10 Er 0.333 0.667 0.000
11 Er 0.667 0.333 0.000
12 Tb 0.000 0.000 0.000

no.,density of states at the Fermi level (states/eV/cell)
1,3.71
2,3.79
3,5.46
4,13.07